Entry 1:
This record from Alexandria via LeMat-Bulk describes a relaxed PuMnNi2 crystal. The functional is GGA-PBE.

Calculated values
Total moment = 0.37 μB per atom
Crystal system = tetragonal
Calculated formation energy = -21 kJ/mol of formula units

Structure (CIF):
```
data_PuMnNi2
_chemical_formula_sum 'Pu1 Mn1 Ni2'
_symmetry_space_group_name_H-M 'P 4/m m m'
_symmetry_Int_Tables_number 123
_symmetry_space_group_name_Hall '-P 4 2'
_cell_length_a 3.795
_cell_length_b 3.795
_cell_length_c 3.972
_cell_angle_alpha 90.00
_cell_angle_beta 90.00
_cell_angle_gamma 90.00
loop_
_atom_site_label
_atom_site_type_symbol
_atom_site_fract_x
_atom_site_fract_y
_atom_site_fract_z
_atom_site_occupancy
Pu1 Pu 0.000 0.000 0.000 1
Mn1 Mn 0.500 0.500 0.000 1
Ni1 Ni 0.000 0.500 0.500 1
```



Entry 2:
This record from Alexandria via LeMat-Bulk describes a relaxed Pu2MnNi3 crystal. The functional is GGA-PBE.

Calculated values
Total moment = 2.30 μB per atom
Crystal system = trigonal
Calculated formation energy = -64 kJ/mol of formula units

Structure (CIF):
```
data_Pu2MnNi3
_chemical_formula_sum 'Pu6 Mn3 Ni9'
_symmetry_space_group_name_H-M 'R -3 m'
_symmetry_Int_Tables_number 166
_symmetry_space_group_name_Hall '-R 3 2"'
_cell_length_a 5.1944
_cell_length_b 5.1944
_cell_length_c 12.0008
_cell_angle_alpha 90.00
_cell_angle_beta 90.00
_cell_angle_gamma 120.00
loop_
_atom_site_label
_atom_site_type_symbol
_atom_site_fract_x
_atom_site_fract_y
_atom_site_fract_z
_atom_site_occupancy
Pu1 Pu 0.0000 0.0000 0.1228 1
Mn1 Mn 0.0000 0.0000 0.5000 1
Ni1 Ni 0.0000 0.5000 0.0000 1
```



Entry 3:
This record from Alexandria via LeMat-Bulk describes a relaxed Pu2MnNi crystal. The functional is GGA-PBE.

Calculated values
Total moment = 2.05 μB per atom
Crystal system = tetragonal
Calculated formation energy = 4 kJ/mol of formula units

Structure (CIF):
```
data_Pu2MnNi
_chemical_formula_sum 'Pu2 Mn1 Ni1'
_symmetry_space_group_name_H-M 'P 4/m m m'
_symmetry_Int_Tables_number 123
_symmetry_space_group_name_Hall '-P 4 2'
_cell_length_a 4.951
_cell_length_b 4.951
_cell_length_c 3.019
_cell_angle_alpha 90.00
_cell_angle_beta 90.00
_cell_angle_gamma 90.00
loop_
_atom_site_label
_atom_site_type_symbol
_atom_site_fract_x
_atom_site_fract_y
_atom_site_fract_z
_atom_site_occupancy
Pu1 Pu 0.000 0.500 0.000 1
Mn1 Mn 0.000 0.000 0.500 1
Ni1 Ni 0.500 0.500 0.500 1
```



| no. | raw total energy (eV per formula unit) |
| --- | --- |
| 1 | -35.3 |
| 2 | -55.8 |
| 3 | -43.6 |